Record 1
# KRb2Na2 PBE optimized geometry
data_KRb2Na2
_cell_length_a 11.950
_cell_length_b 11.950
_cell_length_c 4.529
_cell_angle_alpha 90.00
_cell_angle_beta 90.00
_cell_angle_gamma 90.00
_space_group_name_H-M_alt 'P 4/m b m'
_space_group_IT_number 127
_space_group_name_Hall '-P 4 2ab'
loop_
_atom_site_label
_atom_site_fract_x
_atom_site_fract_y
_atom_site_fract_z
K1 0.000 0.000 0.000
Rb1 0.138 0.362 0.000
Na1 0.161 0.661 0.500
# total energy	-10.71	eV/cell
# M_tot	0.00	μB per formula unit



Record 2
# Tb2Zn3Pd2 PBE optimized geometry
data_Tb2Zn3Pd2
_cell_length_a 9.722
_cell_length_b 4.298
_cell_length_c 6.933
_cell_angle_alpha 90.00
_cell_angle_beta 111.65
_cell_angle_gamma 90.00
_space_group_name_H-M_alt 'C 1 2/m 1'
_space_group_IT_number 12
loop_
_space_group_symop_operation_xyz
'x,y,z'
'-x,-y,-z'
'-x,y,-z'
'x,-y,z'
'x+1/2,y+1/2,z'
'-x+1/2,-y+1/2,-z'
'-x+1/2,y+1/2,-z'
'x+1/2,-y+1/2,z'
loop_
_atom_site_label
_atom_site_fract_x
_atom_site_fract_y
_atom_site_fract_z
Tb1 0.145 0.000 0.265
Zn1 0.000 0.500 0.500
Zn2 0.121 0.500 0.936
Pd1 0.141 0.000 0.703
# total energy	-56.06	eV/cell
# M_tot	0.00	μB per formula unit



Record 3
# Sm6H3C2N PBE optimized geometry
data_Sm6H3C2N
_cell_length_a 6.309
_cell_length_b 10.933
_cell_length_c 6.328
_cell_angle_alpha 90.00
_cell_angle_beta 109.46
_cell_angle_gamma 90.00
_space_group_name_H-M_alt 'C 1 2/m 1'
_space_group_IT_number 12
loop_
_space_group_symop_operation_xyz
'x,y,z'
'-x,-y,-z'
'-x,y,-z'
'x,-y,z'
'x+1/2,y+1/2,z'
'-x+1/2,-y+1/2,-z'
'-x+1/2,y+1/2,-z'
'x+1/2,-y+1/2,z'
loop_
_atom_site_label
_atom_site_fract_x
_atom_site_fract_y
_atom_site_fract_z
Sm1 0.242 0.165 0.229
Sm2 0.246 0.500 0.228
H1 0.000 0.171 0.500
H2 0.000 0.500 0.500
C1 0.000 0.333 0.000
N1 0.000 0.000 0.000
# total energy	-144.05	eV/cell
# M_tot	0.00	μB per formula unit



Record 4
# Pm2InHg6 PBE optimized geometry
data_Pm2InHg6
_cell_length_a 11.593
_cell_length_b 6.710
_cell_length_c 5.914
_cell_angle_alpha 90.00
_cell_angle_beta 90.23
_cell_angle_gamma 90.00
_space_group_name_H-M_alt 'C 1 2/m 1'
_space_group_IT_number 12
loop_
_space_group_symop_operation_xyz
'x,y,z'
'-x,-y,-z'
'-x,y,-z'
'x,-y,z'
'x+1/2,y+1/2,z'
'-x+1/2,-y+1/2,-z'
'-x+1/2,y+1/2,-z'
'x+1/2,-y+1/2,z'
loop_
_atom_site_label
_atom_site_fract_x
_atom_site_fract_y
_atom_site_fract_z
Pm1 0.167 0.000 0.313
In1 0.000 0.500 0.500
Hg1 0.092 0.224 0.821
Hg2 0.184 0.500 0.180
# total energy	-32.86	eV/cell
# M_tot	0.00	μB per formula unit



Record 5
# Ce4ErS5 PBE optimized geometry
data_Ce4ErS5
_cell_length_a 8.912
_cell_length_b 8.912
_cell_length_c 5.642
_cell_angle_alpha 90.00
_cell_angle_beta 90.00
_cell_angle_gamma 90.00
_space_group_name_H-M_alt 'I 4/m'
_space_group_IT_number 87
_space_group_name_Hall '-I 4'
loop_
_atom_site_label
_atom_site_fract_x
_atom_site_fract_y
_atom_site_fract_z
Ce1 0.098 0.302 0.000
Er1 0.000 0.000 0.500
S1 0.000 0.000 0.000
S2 0.099 0.292 0.500
# E_form (uncorrected)	-2.028	eV/atom
# M_tot	2.03	μB per formula unit



Record 6
# VOs2Rh PBE optimized geometry
data_VOs2Rh
_cell_length_a 2.751
_cell_length_b 11.917
_cell_length_c 7.057
_cell_angle_alpha 90.00
_cell_angle_beta 90.00
_cell_angle_gamma 90.00
_space_group_name_H-M_alt 'C m c m'
_space_group_IT_number 63
_space_group_name_Hall '-C 2c 2'
loop_
_atom_site_label
_atom_site_fract_x
_atom_site_fract_y
_atom_site_fract_z
V1 0.000 0.046 0.250
Os1 0.000 0.395 0.063
Rh1 0.000 0.264 0.750
# total energy	-155.11	eV/cell
# M_tot	0.00	μB per formula unit



Record 7
# Pa3Bi4Rh3 PBE optimized geometry
data_Pa3Bi4Rh3
_cell_length_a 9.823
_cell_length_b 9.823
_cell_length_c 9.823
_cell_angle_alpha 90.00
_cell_angle_beta 90.00
_cell_angle_gamma 90.00
_space_group_name_H-M_alt 'I -4 3 d'
_space_group_IT_number 220
_space_group_name_Hall 'I -4bd 2c 3'
loop_
_atom_site_label
_atom_site_fract_x
_atom_site_fract_y
_atom_site_fract_z
Pa1 0.000 0.250 0.375
Bi1 0.088 0.088 0.088
Rh1 0.000 0.250 0.875
# total energy	-286.40	eV/cell
# M_tot	0.00	μB per formula unit



Record 8
# Li2Cd5Ag PBE optimized geometry
data_Li2Cd5Ag
_cell_length_a 4.418
_cell_length_b 14.161
_cell_length_c 10.992
_cell_angle_alpha 90.00
_cell_angle_beta 90.00
_cell_angle_gamma 90.00
_space_group_name_H-M_alt 'C m c m'
_space_group_IT_number 63
_space_group_name_Hall '-C 2c 2'
loop_
_atom_site_label
_atom_site_fract_x
_atom_site_fract_y
_atom_site_fract_z
Li1 0.000 0.248 0.090
Cd1 0.000 0.086 0.570
Cd2 0.000 0.404 0.613
Cd3 0.000 0.412 0.250
Ag1 0.000 0.232 0.750
# total energy	-48.35	eV/cell
# M_tot	0.00	μB per formula unit



What did the seventh record say?
# Pa3Bi4Rh3 PBE optimized geometry
data_Pa3Bi4Rh3
_cell_length_a 9.823
_cell_length_b 9.823
_cell_length_c 9.823
_cell_angle_alpha 90.00
_cell_angle_beta 90.00
_cell_angle_gamma 90.00
_space_group_name_H-M_alt 'I -4 3 d'
_space_group_IT_number 220
_space_group_name_Hall 'I -4bd 2c 3'
loop_
_atom_site_label
_atom_site_fract_x
_atom_site_fract_y
_atom_site_fract_z
Pa1 0.000 0.250 0.375
Bi1 0.088 0.088 0.088
Rh1 0.000 0.250 0.875
# total energy	-286.40	eV/cell
# M_tot	0.00	μB per formula unit



The highest M_tot belongs to which entry? Ce4ErS5